This record from Alexandria describes a relaxed structure of ScGe3S. The functional is PBE.

Properties
VASP energy = -22.62 eV for the cell shown
Fermi-level density of states = 0.952 states/eV per atom
M_tot = 0.0 Bohr magnetons per cell
Formation energy without anion corrections = 32.7 kJ per mole of atoms
Space-group type = Pm-3m
Crystal system = cubic

The structure in POSCAR format:
```
ScGe3S
1.0
4.830 0.000 0.000
0.000 4.830 0.000
0.000 0.000 4.830
Sc Ge S
1 3 1
Direct
0.000 0.000 0.000 Sc
0.000 0.500 0.500 Ge
0.500 0.000 0.500 Ge
0.500 0.500 0.000 Ge
0.500 0.500 0.500 S
```